No. 1
Material: GeBiRu
Method: DFT, PBE
State: relaxed

a = 4.794 Å, b = 12.546 Å, c = 4.511 Å
α = 90.00°, β = 90.00°, γ = 90.00°
Positions (direct):
Ge 0.066 0.142 0.000
Ge 0.434 0.142 0.500
Ge 0.566 0.858 0.000
Ge 0.934 0.858 0.500
Bi 0.027 0.372 0.002
Bi 0.473 0.372 0.502
Bi 0.527 0.628 0.002
Bi 0.973 0.628 0.502
Ru 0.078 0.939 0.000
Ru 0.422 0.939 0.500
Ru 0.578 0.061 0.000
Ru 0.922 0.061 0.500

Calculated values
Symmetry ... Pca2_1
Final energy ... -5.89 eV/atom

---

No. 2
Material: La12AlAg6
Method: DFT, PBE
State: relaxed

a = 8.209 Å, b = 8.209 Å, c = 8.209 Å
α = 88.43°, β = 88.43°, γ = 88.43°
Positions (direct):
La 0.046 0.945 0.313
La 0.055 0.687 0.954
La 0.127 0.487 0.355
La 0.313 0.046 0.945
La 0.355 0.127 0.487
La 0.487 0.355 0.127
La 0.513 0.645 0.873
La 0.645 0.873 0.513
La 0.687 0.954 0.055
La 0.873 0.513 0.645
La 0.945 0.313 0.046
La 0.954 0.055 0.687
Al 0.500 0.500 0.500
Ag 0.246 0.394 0.749
Ag 0.251 0.754 0.606
Ag 0.394 0.749 0.246
Ag 0.606 0.251 0.754
Ag 0.749 0.246 0.394
Ag 0.754 0.606 0.251

Calculated values
Symmetry ... R-3
Final energy ... -4.31 eV/atom

---

No. 3
Material: SbSeS
Method: DFT, PBE
State: relaxed

a = 7.996 Å, b = 3.523 Å, c = 12.794 Å
α = 90.00°, β = 90.00°, γ = 90.00°
Positions (direct):
Sb 0.249 0.250 0.180
Sb 0.251 0.750 0.680
Sb 0.749 0.250 0.320
Sb 0.751 0.750 0.820
Se 0.123 0.750 0.015
Se 0.377 0.250 0.515
Se 0.623 0.750 0.485
Se 0.877 0.250 0.985
S 0.028 0.250 0.667
S 0.472 0.750 0.167
S 0.528 0.250 0.833
S 0.972 0.750 0.333

Calculated values
Symmetry ... Pnma
Energy above the lowest structure with this stoichiometry ... 0.38 eV/f.u.

---

No. 4
Material: K2ZrSnO6
Method: DFT, PBE
State: relaxed

a = 5.933 Å, b = 5.933 Å, c = 5.933 Å
α = 60.00°, β = 60.00°, γ = 60.00°
Positions (direct):
K 0.250 0.250 0.250
K 0.750 0.750 0.750
Zr 0.000 0.000 0.000
Sn 0.500 0.500 0.500
O 0.252 0.252 0.748
O 0.252 0.748 0.252
O 0.252 0.748 0.748
O 0.748 0.252 0.252
O 0.748 0.252 0.748
O 0.748 0.748 0.252

Calculated values
Symmetry ... Fm-3m
Final energy ... -6.32 eV/atom

---

No. 5
Material: PrDy7Sc4
Method: DFT, PBE
State: relaxed

a = 6.049 Å, b = 6.987 Å, c = 8.584 Å
α = 89.96°, β = 76.24°, γ = 89.99°
Positions (direct):
Pr 0.000 0.000 0.000
Dy 0.000 0.500 0.000
Dy 0.225 0.001 0.338
Dy 0.285 0.742 0.660
Dy 0.498 0.256 0.995
Dy 0.502 0.744 0.005
Dy 0.715 0.258 0.340
Dy 0.775 0.999 0.662
Sc 0.216 0.500 0.340
Sc 0.275 0.256 0.662
Sc 0.725 0.744 0.338
Sc 0.784 0.500 0.660

Calculated values
Symmetry ... P-1
Final energy ... -5.17 eV/atom

---

No. 6
Material: Ho3AlSi2Ni9
Method: DFT, PBE
State: relaxed

a = 5.805 Å, b = 5.805 Å, c = 8.502 Å
α = 90.00°, β = 90.00°, γ = 120.00°
Positions (direct):
Ho 0.000 0.000 0.000
Ho 0.333 0.667 0.685
Ho 0.667 0.333 0.315
Al 0.000 0.000 0.500
Si 0.333 0.667 0.176
Si 0.667 0.333 0.824
Ni 0.000 0.500 0.000
Ni 0.139 0.277 0.278
Ni 0.139 0.861 0.278
Ni 0.277 0.139 0.722
Ni 0.500 0.000 0.000
Ni 0.500 0.500 0.000
Ni 0.723 0.861 0.278
Ni 0.861 0.139 0.722
Ni 0.861 0.723 0.722

Calculated values
Symmetry ... P-3m1
Final energy ... -5.67 eV/atom

---

No. 7
Material: DyLuTe
Method: DFT, PBE
State: relaxed

a = 6.327 Å, b = 6.327 Å, c = 6.327 Å
α = 144.82°, β = 144.82°, γ = 50.60°
Positions (direct):
Dy 0.000 0.000 0.000
Lu 0.315 0.315 0.000
Te 0.662 0.662 0.000

Calculated values
Symmetry ... I4mm
Energy above the lowest structure with this stoichiometry ... 0.00 eV/f.u.

---

No. 8
Material: Ca2MgTc
Method: DFT, PBE
State: relaxed

a = 6.381 Å, b = 6.381 Å, c = 6.381 Å
α = 148.63°, β = 130.27°, γ = 59.99°
Positions (direct):
Ca 0.000 0.000 0.000
Ca 0.703 0.203 0.500
Mg 0.287 0.787 0.500
Tc 0.475 0.475 0.000

Calculated values
Symmetry ... Imm2
Final energy ... -3.59 eV/atom

---

No. 9
Material: MgSbCl
Method: DFT, PBE
State: relaxed

a = 4.909 Å, b = 4.909 Å, c = 4.909 Å
α = 60.00°, β = 60.00°, γ = 60.00°
Positions (direct):
Mg 0.000 0.000 0.000
Sb 0.500 0.500 0.500
Cl 0.750 0.750 0.750

Calculated values
Symmetry ... F-43m
Energy above the lowest structure with this stoichiometry ... 3.39 eV/f.u.

---

No. 10
Material: SbTe2NO
Method: DFT, PBE
State: relaxed

a = 4.735 Å, b = 4.735 Å, c = 4.433 Å
α = 90.00°, β = 90.00°, γ = 90.00°
Positions (direct):
Sb 0.000 0.000 0.000
Te 0.000 0.500 0.500
Te 0.500 0.000 0.500
N 0.500 0.500 0.000
O 0.500 0.500 0.500

Calculated values
Symmetry ... P4/mmm
Energy above the lowest structure with this stoichiometry ... 0.10 eV/f.u.

---

No. 11
Material: Tb5PmEr3
Method: DFT, PBE
State: relaxed

a = 9.312 Å, b = 9.312 Å, c = 12.205 Å
α = 126.13°, β = 126.13°, γ = 50.82°
Positions (direct):
Tb 0.180 0.820 0.000
Tb 0.200 0.200 0.069
Tb 0.230 0.642 0.221
Tb 0.358 0.770 0.779
Tb 0.374 0.374 0.432
Tb 0.626 0.626 0.568
Tb 0.642 0.230 0.221
Tb 0.770 0.358 0.779
Tb 0.800 0.800 0.931
Tb 0.820 0.180 0.000
Pm 0.264 0.264 0.869
Pm 0.736 0.736 0.131
Er 0.000 0.000 0.500
Er 0.119 0.119 0.317
Er 0.329 0.329 0.661
Er 0.500 0.500 0.000
Er 0.671 0.671 0.339
Er 0.881 0.881 0.683

Calculated values
Symmetry ... C2/m
Energy above the lowest structure with this stoichiometry ... 3.25 eV/f.u.

---

No. 12
Material: Y2FeMo
Method: DFT, PBE
State: relaxed

a = 6.011 Å, b = 6.011 Å, c = 6.011 Å
α = 147.20°, β = 131.79°, γ = 59.54°
Positions (direct):
Y 0.000 0.000 0.000
Y 0.715 0.215 0.500
Fe 0.266 0.766 0.500
Mo 0.420 0.420 0.000

Calculated values
Symmetry ... Imm2
Energy above the lowest structure with this stoichiometry ... 0.22 eV/f.u.